(1)
SiIrRhBr2: relaxed, PBE.

It has space group P4/mmm (No. 123), with a = 5.063 Å, b = 5.063 Å, c = 4.505 Å, α = 90.00°, β = 90.00° and γ = 90.00°. The inequivalent atoms are Si at (0.000, 0.000, 0.000), Ir at (0.500, 0.500, 0.000), Rh at (0.000, 0.000, 0.500) and Br at (0.000, 0.500, 0.500).

The calculation puts the magnetization at 1.84 μB per formula unit. The calculation puts the formation energy (no corrections) at 1.156 eV per atom.

(2)
Sm8Ir3RhBr4: relaxed, PBE.

It has space group C2/m (No. 12), with a = 14.250 Å, b = 8.229 Å, c = 9.071 Å, α = 90.00°, β = 121.64° and γ = 90.00°. The inequivalent atoms are Sm at (0.019, 0.249, 0.306), Sm at (0.231, 0.000, 0.693), Sm at (0.232, 0.500, 0.694), Ir at (0.000, 0.000, 0.500), Ir at (0.250, 0.250, 0.500), Rh at (0.000, 0.500, 0.500), Br at (0.000, 0.000, 0.000), Br at (0.000, 0.500, 0.000) and Br at (0.250, 0.250, 0.000).

The calculation puts the magnetization at 0.00 μB per formula unit. The calculation puts the formation energy (no corrections) at -1.100 eV per atom.